A relaxed CaSe2N crystal, computed with PBE.

Output
**Total DFT energy (no corrections)**: -4.26 eV/atom
**Formation energy from raw total energies**: 0.0678 eV/atom

a = 4.6697 Å, b = 4.6697 Å, c = 18.4554 Å
α = 90.00°, β = 90.00°, γ = 120.00°
Space group R-3m (No. 166, hexagonal axes)
Inequivalent atoms, fractional coordinates:
Ca 0.0000 0.0000 0.0000 (multiplicity 3)
Se 0.0000 0.0000 0.4038 (multiplicity 6)
N 0.0000 0.0000 0.5000 (multiplicity 3)